No. 1
Computed, not measured: crystalline Li2BPb at its relaxed geometry at the PBE-GGA level of DFT.

Formation energy   0.513 eV/atom
Space-group type   Fm-3m, No. 225
Distance to the lowest polymorph of the same formula   0.000 eV per atom

The structure in extended XYZ format:
```
4
Lattice="0.0000 3.1256 3.1256 3.1256 0.0000 3.1256 3.1256 3.1256 0.0000" Properties=species:S:1:pos:R:3 pbc="T T T"
Li 1.5628 1.5628 1.5628
Li 4.6884 4.6884 4.6884
B 0.0000 0.0000 0.0000
Pb 3.1256 3.1256 3.1256
```

***

No. 2
Computed, not measured: crystalline SmSiPt3 at its relaxed geometry at the PBE-GGA level of DFT.

Space-group type   P4mm, No. 99
Distance to the lowest polymorph of the same formula   0.009 eV per atom
Uncorrected formation energy   -1.0787 eV/atom

The structure in extended XYZ format:
```
5
Lattice="4.0837 0.0000 0.0000 0.0000 4.0837 0.0000 0.0000 0.0000 5.5005" Properties=species:S:1:pos:R:3 pbc="T T T"
Sm 0.0000 0.0000 0.0000
Si 2.0418 2.0418 1.4302
Pt 0.0000 2.0418 2.6981
Pt 2.0418 0.0000 2.6981
Pt 2.0418 2.0418 4.6392
```

***

No. 3
Computed, not measured: crystalline PmDy3B4O12 at its relaxed geometry at the PBE-GGA level of DFT.

Space-group type   R32, No. 155
Uncorrected formation energy   -3.0753 eV/atom

The structure in extended XYZ format:
```
20
Lattice="5.0831 2.9347 2.8481 -5.0831 2.9347 2.8481 0.0000 -5.8695 2.8481" Properties=species:S:1:pos:R:3 pbc="T T T"
Pm 0.0000 0.0000 0.0000
Dy -2.7154 -1.1664 2.8481
Dy 2.3678 -1.7684 2.8481
Dy 0.3476 2.9347 2.8481
B -2.3634 -4.0935 4.2722
B 0.0000 0.0000 4.2722
B -2.3634 4.0935 4.2722
B 4.7268 0.0000 4.2722
O -3.0958 -2.9091 4.2463
O -4.0609 0.0000 4.2722
O -0.9715 -4.1356 4.2981
O -1.3794 0.0000 4.2722
O -3.0958 2.9091 4.2981
O 2.0304 -3.5168 4.2722
O 0.6897 -1.1946 4.2722
O 0.6897 1.1946 4.2722
O -0.9715 4.1356 4.2463
O 4.0673 -1.2265 4.2463
O 2.0304 3.5168 4.2722
O 4.0673 1.2265 4.2981
```